Record 1
# La2NbIn2

A relaxed structure of La2NbIn2 (PBE-GGA, Alexandria via LeMat-Bulk).

Cell: 9.2095 9.2095 3.3911 Å, 90.00 90.00 90.00°
Last column: nearest neighbours and their distance in Å.
Space group P4/mbm (No. 127)
One atom of each set of equivalent atoms:
La 0.1206 0.3794 0.0000 [4 per cell]  6 In 3.13-3.27, 3 La 3.14-3.39
Nb 0.0000 0.0000 0.0000 [2 per cell]  2 Nb 3.39, 4 La 3.67, 8 In 3.79
In 0.1773 0.6773 0.5000 [4 per cell]  6 La 3.13-3.27, 2 In 3.39

Properties
Energy of formation from the pure elements in eV/f.u.: 2.0
Total magnetization in μB per formula unit: 1.2
Relative energy among the computed polymorphs in eV/atom: 0.409

***

Record 2
# Al2MoRu

A relaxed structure of Al2MoRu (PBE-GGA, Alexandria via LeMat-Bulk).

Cell: 3.1683 4.5360 8.2298 Å, 90.00 90.00 90.00°
Last column: nearest neighbours and their distance in Å.
Space group Cmmm (No. 65)
One atom of each set of equivalent atoms:
Al 0.0000 0.0000 0.2378 [4 per cell]  2 Ru 2.52, 2 Mo 2.68, 4 Al 2.77
Mo 0.0000 0.5000 0.5000 [2 per cell]  4 Al 2.68, 4 Mo 2.77
Ru 0.0000 0.5000 0.0000 [2 per cell]  4 Al 2.52, 4 Ru 2.77

Properties
Energy of formation from the pure elements in eV/f.u.: -0.8
Total magnetization in μB per formula unit: 0.0
Relative energy among the computed polymorphs in eV/atom: 0.170

***

Record 3
# LaMn2Al

A relaxed structure of LaMn2Al (PBE-GGA, Alexandria via LeMat-Bulk).

Cell: 9.9481 3.1048 5.0698 Å, 90.00 104.56 90.00°
Last column: nearest neighbours and their distance in Å.
Space group Cm (No. 8)
One atom of each set of equivalent atoms:
La 0.0000 0.0000 0.0000 [2 per cell]  7 Mn 2.80-3.13, 2 La 3.10
Mn 0.2767 0.5000 0.2425 [2 per cell]  2 Al 2.67, 2 Mn 2.70, 1 La 2.80
Mn 0.4906 0.0000 0.5063 [2 per cell]  2 Mn 2.70, 3 Al 2.73-2.88, 4 La 2.93-3.02
Al 0.2236 0.0000 0.6323 [2 per cell]  5 Mn 2.67-2.88

Properties
Energy of formation from the pure elements in eV/f.u.: 0.9
Total magnetization in μB per formula unit: 5.9

***

Record 4
# Ca2Y3Tl4

A relaxed structure of Ca2Y3Tl4 (PBE-GGA, Alexandria via LeMat-Bulk).

Cell: 7.3021 16.6469 9.2644 Å, 90.00 90.00 90.00°
Last column: nearest neighbours and their distance in Å.
Space group Cmce (No. 64)
One atom of each set of equivalent atoms:
Ca 0.0000 0.1105 0.0747 [8 per cell]  3 Tl 3.36-3.49
Y 0.0000 0.0000 0.5000 [4 per cell]  6 Tl 2.99-3.17
Y 0.2500 0.2126 0.7500 [8 per cell]  5 Tl 3.07-3.25
Tl 0.0000 0.1893 0.4630 [8 per cell]  5 Y 3.15-3.25, 1 Ca 3.49
Tl 0.2500 0.0283 0.7500 [8 per cell]  3 Y 2.99-3.07

Properties
Energy of formation from the pure elements in eV/f.u.: -2.1
Total magnetization in μB per formula unit: 0.0

***

Record 5
# MgCuTc2

A relaxed structure of MgCuTc2 (PBE-GGA, Alexandria via LeMat-Bulk).

Cell: 3.0603 3.0603 6.4673 Å, 90.00 90.00 90.00°
Last column: nearest neighbours and their distance in Å.
Space group P4mm (No. 99)
One atom of each set of equivalent atoms:
Mg 0.0000 0.0000 0.0000 [1 per cell]  4 Cu 2.68, 4 Tc 2.89
Cu 0.5000 0.5000 0.7550 [1 per cell]  4 Mg 2.68, 5 Tc 2.72-2.97
Tc 0.0000 0.0000 0.5006 [1 per cell]  4 Tc 2.54, 4 Cu 2.72
Tc 0.5000 0.5000 0.2957 [1 per cell]  4 Tc 2.54

Properties
Energy of formation from the pure elements in eV/f.u.: 0.3
Total magnetization in μB per formula unit: 0.0

***

Record 6
# Cs2TlHgPt

A relaxed structure of Cs2TlHgPt (PBE-GGA, Alexandria via LeMat-Bulk).

Cell: 6.7709 6.7709 5.2920 Å, 90.00 90.00 90.00°
Last column: nearest neighbours and their distance in Å.
Space group P4/mmm (No. 123)
One atom of each set of equivalent atoms:
Cs 0.0000 0.5000 0.0000 [2 per cell]  2 Pt 3.39
Tl 0.0000 0.0000 0.5000 [1 per cell]  2 Pt 2.65
Hg 0.5000 0.5000 0.5000 [1 per cell]  8 Cs 4.30, 4 Tl 4.79
Pt 0.0000 0.0000 0.0000 [1 per cell]  2 Tl 2.65

Properties
Energy of formation from the pure elements in eV/f.u.: -0.6
Total magnetization in μB per formula unit: 0.0
Relative energy among the computed polymorphs in eV/atom: 0.000

***

Record 7
# CsNiAu3

A relaxed structure of CsNiAu3 (PBE-GGA, Alexandria via LeMat-Bulk).

Cell: 6.0688 6.0688 6.0688 Å, 90.00 90.00 90.00°
Last column: nearest neighbours and their distance in Å.
Space group Pm-3m (No. 221)
One atom of each set of equivalent atoms:
Cs 0.0000 0.0000 0.0000 [1 per cell]  6 Au 3.03
Ni 0.5000 0.5000 0.5000 [1 per cell]  12 Au 4.29
Au 0.0000 0.0000 0.5000 [3 per cell]  2 Cs 3.03

Properties
Energy of formation from the pure elements in eV/f.u.: 9.1
Total magnetization in μB per formula unit: 1.6
Relative energy among the computed polymorphs in eV/atom: 1.610

***

Record 8
# BiTePd

A relaxed structure of BiTePd (PBE-GGA, Alexandria via LeMat-Bulk).

Cell: 4.2959 5.5390 6.7500 Å, 90.00 90.00 90.00°
Last column: nearest neighbours and their distance in Å.
Space group Pmn2_1 (No. 31)
One atom of each set of equivalent atoms:
Bi 0.0000 0.0231 0.0000 [2 per cell]  3 Pd 2.80-2.82, 1 Te 3.04
Te 0.0000 0.4647 0.7330 [2 per cell]  3 Pd 2.72-2.77, 1 Bi 3.04
Pd 0.0000 0.2631 0.3653 [2 per cell]  3 Te 2.72-2.77, 3 Bi 2.80-2.82

Properties
Total magnetization in μB per formula unit: 0.0
Relative energy among the computed polymorphs in eV/atom: 0.015
E_form (uncorrected) in eV per atom: -0.325

***

Record 9
# Pr3Y2Er8

A relaxed structure of Pr3Y2Er8 (PBE-GGA, Alexandria via LeMat-Bulk).

Cell: 20.1040 7.7226 5.6251 Å, 90.00 90.05 90.00°
Last column: nearest neighbours and their distance in Å.
Space group C2/m (No. 12)
One atom of each set of equivalent atoms:
Pr 0.0000 0.0000 0.0000 [2 per cell]  4 Er 3.15
Pr 0.0000 0.2933 0.5000 [4 per cell]  1 Pr 3.19, 6 Er 3.54-3.57
Y 0.2409 0.0000 0.9988 [4 per cell]  8 Er 3.33-3.53
Er 0.1094 0.2917 0.0004 [8 per cell]  1 Pr 3.15, 3 Er 3.22-3.47, 2 Y 3.41-3.47
Er 0.1352 0.0000 0.4996 [4 per cell]  2 Y 3.52-3.53, 4 Pr 3.54-3.91, 7 Er 3.64-3.93
Er 0.1707 0.5000 0.5010 [4 per cell]  2 Y 3.33, 4 Er 3.46-3.47

Properties
Energy of formation from the pure elements in eV/f.u.: 3.3
Total magnetization in μB per formula unit: 0.0
Relative energy among the computed polymorphs in eV/atom: 0.104

***

Record 10
# Sr2HfN

A relaxed structure of Sr2HfN (PBE-GGA, Alexandria via LeMat-Bulk).

Cell: 10.7590 10.7590 4.1951 Å, 90.00 90.00 90.00°
Last column: nearest neighbours and their distance in Å.
Space group I-42d (No. 122)
One atom of each set of equivalent atoms:
Sr 0.0850 0.2500 0.1250 [8 per cell]  2 N 2.89
Hf 0.0000 0.0000 0.5000 [4 per cell]  2 N 2.10
N 0.0000 0.0000 0.0000 [4 per cell]  2 Hf 2.10

Properties
Total magnetization in μB per formula unit: 0.0
E_form (uncorrected) in eV per atom: -0.218

***

Record 11
# BaHgSe2

A relaxed structure of BaHgSe2 (PBE-GGA, Alexandria via LeMat-Bulk).

Cell: 4.4657 4.4657 7.4640 Å, 90.00 90.00 90.00°
Last column: nearest neighbours and their distance in Å.
Space group P4/mmm (No. 123)
One atom of each set of equivalent atoms:
Ba 0.0000 0.0000 0.0000 [1 per cell]  8 Se 3.38, 2 Hg 3.73
Hg 0.0000 0.0000 0.5000 [1 per cell]  2 Ba 3.73, 8 Se 4.04
Se 0.5000 0.5000 0.1630 [2 per cell]  1 Se 2.43

Properties
Total magnetization in μB per formula unit: 0.0
E_form (uncorrected) in eV per atom: -0.981

***

Record 12
# KPaSe2

A relaxed structure of KPaSe2 (PBE-GGA, Alexandria via LeMat-Bulk).

Cell: 3.6215 3.6215 7.9727 Å, 90.00 90.00 90.00°
Last column: nearest neighbours and their distance in Å.
Space group P4/mmm (No. 123)
One atom of each set of equivalent atoms:
K 0.0000 0.0000 0.0000 [1 per cell]  8 Se 3.45, 4 K 3.62
Pa 0.0000 0.0000 0.5000 [1 per cell]  8 Se 3.06
Se 0.5000 0.5000 0.2908 [2 per cell]  4 Pa 3.06, 1 Se 3.34

Properties
Total magnetization in μB per formula unit: 1.6
E_form (uncorrected) in eV per atom: -1.259